(1)
{"formula": "LiAg2Bi", "functional": "PBE-GGA", "state": "optimized geometry", "cell": [[2.433, 1.405, 3.977], [-2.433, 1.405, 3.977], [0.000, -2.809, 3.977]], "species": ["Li", "Ag", "Ag", "Bi"], "frac_coords": [[0.000, 0.000, 0.000], [0.251, 0.251, 0.251], [0.501, 0.501, 0.501], [0.750, 0.750, 0.750]], "delta_e_f_mev_per_atom": -116.5, "relative_energy_mev_per_atom": 59, "magnetic_moment_mub_per_atom": 0.000}

---

(2)
{"formula": "NaPm2Pu3S6", "functional": "PBE-GGA", "state": "optimized geometry", "cell": [[8.731, -2.000, 0.000], [8.731, 2.000, 0.000], [-1.787, 0.000, 7.808]], "species": ["Na", "Pm", "Pm", "Pu", "Pu", "Pu", "S", "S", "S", "S", "S", "S"], "frac_coords": [[0.000, 0.000, 0.000], [0.333, 0.333, 0.665], [0.667, 0.667, 0.335], [0.000, 0.000, 0.500], [0.334, 0.334, 0.166], [0.666, 0.666, 0.834], [0.165, 0.165, 0.588], [0.169, 0.169, 0.080], [0.500, 0.500, 0.257], [0.500, 0.500, 0.743], [0.831, 0.831, 0.920], [0.835, 0.835, 0.412]], "formation_energy_uncorrected_ev_per_atom": -1.788, "magnetic_moment_mub_per_atom": 0.474}